(1)
DFT (GGA-PBE) results for TiN after structural relaxation.

It has space group Fm-3m (No. 225), with a = 4.254 Å, b = 4.254 Å, c = 4.254 Å, α = 90.00°, β = 90.00° and γ = 90.00°. The distinct sites, in fractional coordinates, are Ti at (0.000, 0.000, 0.000) and N at (0.000, 0.000, 0.500).

The value obtained for the formation energy without anion corrections is -165.53 kJ per mole of atoms. The calculation puts the total magnetization at 0.0000 μB per atom. The calculation puts the total energy at -9.83 eV/atom. For the density of states at the Fermi level, the calculation gives 4.5 states/eV/cell.

---

(2)
DFT (GGA-PBE) results for MnTcC after structural relaxation.

It has space group Cm (No. 8), with a = 9.158 Å, b = 3.714 Å, c = 3.848 Å, α = 90.00°, β = 102.34° and γ = 90.00°. The distinct sites, in fractional coordinates, are Mn at (0.000, 0.000, 0.000), Mn at (0.233, 0.500, 0.167), Tc at (0.037, 0.500, 0.514), Tc at (0.287, 0.000, 0.784), C at (0.195, 0.000, 0.264) and C at (0.433, 0.500, 0.478).

The value obtained for the formation energy is 335 meV/atom. The calculation puts the total magnetization at 0.0004 μB per atom. The calculation puts the total energy at -9.25 eV/atom. For the density of states at the Fermi level, the calculation gives 9.9 states/eV/cell.

---

(3)
DFT (GGA-PBE) results for MoSeCl2 after structural relaxation.

It has space group I-42d (No. 122), with a = 6.973 Å, b = 6.973 Å, c = 9.541 Å, α = 90.00°, β = 90.00° and γ = 90.00°. The distinct sites, in fractional coordinates, are Mo at (0.000, 0.000, 0.000), Se at (0.000, 0.000, 0.500) and Cl at (0.127, 0.750, 0.125).

The value obtained for the formation energy without anion corrections is 51.18 kJ per mole of atoms. The calculation puts the total magnetization at 0.2434 μB per atom. The calculation puts the total energy at -3.97 eV/atom. The energy above the lowest structure with this stoichiometry is 1095 meV/atom. For the density of states at the Fermi level, the calculation gives 21.2 states/eV/cell.